Record 1
## Sr5Li (meta-GGA SCAN)

Data for Sr5Li at its PBEsol-relaxed geometry.

Space group: Amm2 (38)
Formation energy from the elements in eV per atom: 0.050

a b c (Å): 6.456 9.867 9.867
angles (deg): 26.85 90.00 90.00
Positions (direct):
Sr 0.000 0.000 0.000
Sr 0.000 0.312 0.312
Sr 0.500 0.157 0.157
Sr 0.500 0.489 0.489
Sr 0.500 0.827 0.827
Li 0.000 0.656 0.656

=====

Record 2
## CaNdRh2 (meta-GGA SCAN)

Data for CaNdRh2 at its PBEsol-relaxed geometry.

Space group: Fm-3m (225)
Formation energy from the elements in eV per atom: -0.559

a b c (Å): 4.827 4.827 4.827
angles (deg): 60.00 60.00 60.00
Positions (direct):
Ca 0.000 0.000 0.000
Nd 0.500 0.500 0.500
Rh 0.250 0.250 0.250
Rh 0.750 0.750 0.750

=====

Record 3
## La3AsI3 (meta-GGA SCAN)

Data for La3AsI3 at its PBEsol-relaxed geometry.

Formation energy from raw total energies in meV per atom: -1615
Space group: I4_132 (214)

a b c (Å): 10.757 10.757 10.757
angles (deg): 109.47 109.47 109.47
Positions (direct):
La 0.250 0.764 0.736
La 0.250 0.986 0.514
La 0.514 0.250 0.986
La 0.514 0.764 0.528
La 0.528 0.514 0.764
La 0.736 0.250 0.764
La 0.736 0.986 0.972
La 0.764 0.528 0.514
La 0.764 0.736 0.250
La 0.972 0.736 0.986
La 0.986 0.514 0.250
La 0.986 0.972 0.736
As 0.000 0.750 0.500
As 0.500 0.000 0.750
As 0.750 0.500 0.000
As 0.750 0.750 0.750
I 0.010 0.021 0.260
I 0.010 0.490 0.750
I 0.021 0.260 0.010
I 0.240 0.260 0.750
I 0.240 0.479 0.490
I 0.260 0.010 0.021
I 0.260 0.750 0.240
I 0.479 0.490 0.240
I 0.490 0.240 0.479
I 0.490 0.750 0.010
I 0.750 0.010 0.490
I 0.750 0.240 0.260

=====

Record 4
## Nb2CrW (meta-GGA SCAN)

Data for Nb2CrW at its PBEsol-relaxed geometry.

Space group: Fm-3m (225)
Formation energy from the elements in eV per atom: 0.051

a b c (Å): 4.452 4.452 4.452
angles (deg): 60.00 60.00 60.00
Positions (direct):
Nb 0.250 0.250 0.250
Nb 0.750 0.750 0.750
Cr 0.000 0.000 0.000
W 0.500 0.500 0.500

=====

Record 5
## ZrTa2Ga2 (meta-GGA SCAN)

Data for ZrTa2Ga2 at its PBEsol-relaxed geometry.

Space group: P4/mbm (127)
Formation energy from the elements in eV per atom: -0.384

a b c (Å): 7.029 7.029 3.458
angles (deg): 90.00 90.00 90.00
Positions (direct):
Zr 0.000 0.000 0.000
Zr 0.500 0.500 0.000
Ta 0.175 0.325 0.500
Ta 0.325 0.825 0.500
Ta 0.675 0.175 0.500
Ta 0.825 0.675 0.500
Ga 0.124 0.624 0.000
Ga 0.376 0.124 0.000
Ga 0.624 0.876 0.000
Ga 0.876 0.376 0.000

=====

Record 6
## NaGa2Pt2 (meta-GGA SCAN)

Data for NaGa2Pt2 at its PBEsol-relaxed geometry.

Space group: I4/mmm (139)
Formation energy from the elements in eV per atom: -0.646
Relative energy among the computed polymorphs in meV per atom: 57.2

a b c (Å): 6.216 6.216 6.216
angles (deg): 141.78 141.78 55.15
Positions (direct):
Na 0.000 0.000 0.000
Ga 0.250 0.750 0.500
Ga 0.750 0.250 0.500
Pt 0.382 0.382 0.000
Pt 0.618 0.618 0.000

=====

Record 7
## La3CoSn (meta-GGA SCAN)

Data for La3CoSn at its PBEsol-relaxed geometry.

Space group: Pm-3m (221)
Formation energy from the elements in eV per atom: -0.484

a b c (Å): 5.202 5.202 5.202
angles (deg): 90.00 90.00 90.00
Positions (direct):
La 0.000 0.000 0.500
La 0.000 0.500 0.000
La 0.500 0.000 0.000
Co 0.000 0.000 0.000
Sn 0.500 0.500 0.500

=====

Record 8
## NaGaBi3 (meta-GGA SCAN)

Data for NaGaBi3 at its PBEsol-relaxed geometry.

Space group: Pm-3m (221)
Formation energy from the elements in eV per atom: 0.287

a b c (Å): 5.504 5.504 5.504
angles (deg): 90.00 90.00 90.00
Positions (direct):
Na 0.000 0.000 0.000
Ga 0.500 0.500 0.500
Bi 0.000 0.500 0.500
Bi 0.500 0.000 0.500
Bi 0.500 0.500 0.000

=====

Record 9
## TbIn5Rh (meta-GGA SCAN)

Data for TbIn5Rh at its PBEsol-relaxed geometry.

Space group: P4/mmm (123)
Formation energy from the elements in eV per atom: -0.538

a b c (Å): 4.580 4.580 7.369
angles (deg): 90.00 90.00 90.00
Positions (direct):
Tb 0.000 0.000 0.000
In 0.000 0.500 0.300
In 0.000 0.500 0.700
In 0.500 0.000 0.300
In 0.500 0.000 0.700
In 0.500 0.500 0.000
Rh 0.000 0.000 0.500

=====

Record 10
## Cd2HgAu (meta-GGA SCAN)

Data for Cd2HgAu at its PBEsol-relaxed geometry.

Space group: I4/mmm (139)
Formation energy from the elements in eV per atom: -0.077
Relative energy among the computed polymorphs in meV per atom: 29.6

a b c (Å): 5.051 5.051 5.051
angles (deg): 127.83 127.83 76.90
Positions (direct):
Cd 0.250 0.750 0.500
Cd 0.750 0.250 0.500
Hg 0.000 0.000 0.000
Au 0.500 0.500 0.000

=====

Record 11
## Ba2HgSb2 (meta-GGA SCAN)

Data for Ba2HgSb2 at its PBEsol-relaxed geometry.

Formation energy from raw total energies in meV per atom: -866
Space group: P4/mbm (127)

a b c (Å): 8.608 8.608 4.820
angles (deg): 90.00 90.00 90.00
Positions (direct):
Ba 0.181 0.319 0.000
Ba 0.319 0.819 0.000
Ba 0.681 0.181 0.000
Ba 0.819 0.681 0.000
Hg 0.000 0.000 0.500
Hg 0.500 0.500 0.500
Sb 0.116 0.616 0.500
Sb 0.384 0.116 0.500
Sb 0.616 0.884 0.500
Sb 0.884 0.384 0.500

=====

Record 12
## TaCrSe (meta-GGA SCAN)

Data for TaCrSe at its PBEsol-relaxed geometry.

Formation energy from raw total energies in meV per atom: 148
Space group: P3m1 (156)
Relative energy among the computed polymorphs in meV per atom: 130.6

a b c (Å): 4.133 4.133 3.001
angles (deg): 90.00 90.00 120.00
Positions (direct):
Ta 0.000 0.000 0.000
Cr 0.667 0.333 0.407
Se 0.333 0.667 0.443

=====

Number 1: M_tot 0.0060 μB per atom. Number 2: M_tot 0.0017 μB per atom. Number 3: M_tot 0.0000 μB per atom. Number 4: M_tot 0.0030 μB per atom. Number 5: M_tot 0.0000 μB per atom. Number 6: M_tot 0.0000 μB per atom. Number 7: M_tot 0.0031 μB per atom. Number 8: M_tot 0.0000 μB per atom. Number 9: M_tot 0.0000 μB per atom. Number 10: M_tot 0.0000 μB per atom. Number 11: M_tot 0.0000 μB per atom. Number 12: M_tot 0.3042 μB per atom.